[1]
Ac4Ag3Hg2: optimized geometry, PBE-GGA.

Cell lengths 5.260, 6.145, 9.655 Å; angles 81.94, 90.00, 64.66 degrees
Element x y z (fractional)
Ac (0.645, 0.710, 0.908)
Ac (0.088, 0.825, 0.347)
Ac (0.912, 0.175, 0.653)
Ac (0.355, 0.290, 0.092)
Ag (0.383, 0.235, 0.428)
Ag (0.000, 0.000, 0.000)
Ag (0.617, 0.765, 0.572)
Hg (0.231, 0.539, 0.716)
Hg (0.769, 0.461, 0.284)

Results
VASP energy ... -28.300 eV/cell
Total magnetic moment ... 0.0 μB/f.u.
Formation energy ... -0.301 eV/atom



[2]
AcAg2Hg4: optimized geometry, PBE-GGA.

Cell lengths 5.034, 5.034, 8.776 Å; angles 73.33, 73.33, 60.00 degrees
Element x y z (fractional)
Ac (0.000, 0.000, 0.000)
Hg (0.864, 0.864, 0.408)
Hg (0.136, 0.136, 0.592)
Hg (0.596, 0.596, 0.213)
Hg (0.404, 0.404, 0.787)
Ag (0.746, 0.746, 0.762)
Ag (0.254, 0.254, 0.238)

Results
VASP energy ... -12.446 eV/cell
Relative energy among the computed polymorphs ... 2 meV/atom
Total magnetic moment ... 0.0 μB/f.u.
Formation energy ... -0.204 eV/atom



[3]
Ac2Ag3Hg: optimized geometry, PBE-GGA.

Cell lengths 4.347, 4.404, 9.578 Å; angles 103.29, 103.12, 90.00 degrees
Element x y z (fractional)
Ac (0.128, 0.128, 0.257)
Ac (0.868, 0.368, 0.736)
Ag (0.703, 0.703, 0.407)
Ag (0.550, 0.550, 0.100)
Ag (0.295, 0.795, 0.590)
Hg (0.455, 0.955, 0.911)

Results
VASP energy ... -18.899 eV/cell
Relative energy among the computed polymorphs ... 49 meV/atom
Total magnetic moment ... 0.0 μB/f.u.
Formation energy ... -0.304 eV/atom



[4]
AcAgHg2: optimized geometry, PBE-GGA.

Cell lengths 5.070, 4.712, 4.712 Å; angles 90.00, 90.00, 90.00 degrees
Element x y z (fractional)
Ac (0.500, 0.500, 0.500)
Hg (0.000, 0.000, 0.500)
Hg (0.000, 0.500, 0.000)
Ag (0.500, 0.000, 0.000)

Results
VASP energy ... -8.509 eV/cell
Relative energy among the computed polymorphs ... 105 meV/atom
Total magnetic moment ... 0.0 μB/f.u.
Formation energy ... -0.236 eV/atom



[5]
AcAg4Hg4: optimized geometry, PBE-GGA.

Cell lengths 5.346, 9.072, 9.072 Å; angles 90.00, 90.00, 90.00 degrees
Element x y z (fractional)
Ac (0.000, 0.000, 0.000)
Ac (0.500, 0.500, 0.500)
Ag (0.501, 0.895, 0.208)
Ag (0.501, 0.105, 0.792)
Ag (0.001, 0.708, 0.605)
Ag (0.999, 0.395, 0.708)
Ag (0.999, 0.605, 0.292)
Ag (0.499, 0.208, 0.105)
Ag (0.499, 0.792, 0.895)
Ag (0.001, 0.292, 0.395)
Hg (0.499, 0.418, 0.854)
Hg (0.999, 0.646, 0.918)
Hg (0.499, 0.582, 0.146)
Hg (0.001, 0.082, 0.646)
Hg (0.501, 0.854, 0.582)
Hg (0.001, 0.918, 0.354)
Hg (0.999, 0.354, 0.082)
Hg (0.501, 0.146, 0.418)

Results
VASP energy ... -34.329 eV/cell
Total magnetic moment ... 0.0 μB/f.u.
Formation energy ... -0.049 eV/atom



[6]
Ac3Ag2Hg3: optimized geometry, PBE-GGA.

Cell lengths 4.946, 6.299, 16.647 Å; angles 90.00, 90.00, 113.12 degrees
Element x y z (fractional)
Ac (0.905, 0.810, 0.400)
Ac (0.095, 0.190, 0.900)
Ac (0.905, 0.810, 0.100)
Ac (0.095, 0.190, 0.600)
Ac (0.641, 0.282, 0.250)
Ac (0.359, 0.718, 0.750)
Ag (0.797, 0.595, 0.893)
Ag (0.203, 0.405, 0.393)
Ag (0.797, 0.595, 0.607)
Ag (0.203, 0.405, 0.107)
Hg (0.613, 0.225, 0.454)
Hg (0.387, 0.775, 0.954)
Hg (0.613, 0.225, 0.046)
Hg (0.387, 0.775, 0.546)
Hg (0.356, 0.712, 0.250)
Hg (0.644, 0.288, 0.750)

Results
VASP energy ... -44.211 eV/cell
Total magnetic moment ... 0.0 μB/f.u.
Formation energy ... -0.397 eV/atom



[7]
Ac2Ag2Hg: optimized geometry, PBE-GGA.

Cell lengths 8.329, 8.329, 8.637 Å; angles 90.00, 90.00, 90.00 degrees
Element x y z (fractional)
Ac (0.678, 0.822, 0.500)
Ac (0.322, 0.178, 0.500)
Ac (0.822, 0.322, 0.000)
Ac (0.178, 0.678, 0.000)
Ac (0.822, 0.322, 0.500)
Ac (0.178, 0.678, 0.500)
Ac (0.322, 0.178, 0.000)
Ac (0.678, 0.822, 0.000)
Ag (0.379, 0.879, 0.250)
Ag (0.621, 0.121, 0.250)
Ag (0.121, 0.379, 0.750)
Ag (0.879, 0.621, 0.750)
Ag (0.879, 0.621, 0.250)
Ag (0.121, 0.379, 0.250)
Ag (0.379, 0.879, 0.750)
Ag (0.621, 0.121, 0.750)
Hg (0.500, 0.500, 0.251)
Hg (0.000, 0.000, 0.751)
Hg (0.500, 0.500, 0.749)
Hg (0.000, 0.000, 0.249)

Results
VASP energy ... -63.419 eV/cell
Relative energy among the computed polymorphs ... 0 meV/atom
Total magnetic moment ... 0.0 μB/f.u.
Formation energy ... -0.327 eV/atom



[8]
AcAgHg5: optimized geometry, PBE-GGA.

Cell lengths 5.027, 5.027, 7.621 Å; angles 90.00, 90.00, 90.00 degrees
Element x y z (fractional)
Ac (0.000, 0.000, 0.000)
Ag (0.000, 0.000, 0.500)
Hg (0.500, 0.000, 0.702)
Hg (0.000, 0.500, 0.702)
Hg (0.500, 0.500, 0.000)
Hg (0.000, 0.500, 0.298)
Hg (0.500, 0.000, 0.298)

Results
VASP energy ... -10.077 eV/cell
Total magnetic moment ... 0.0 μB/f.u.
Formation energy ... -0.230 eV/atom



[9]
AcAg2Hg3: optimized geometry, PBE-GGA.

Cell lengths 4.887, 9.088, 9.092 Å; angles 54.20, 74.41, 74.40 degrees
Element x y z (fractional)
Ac (0.863, 0.137, 0.138)
Ac (0.137, 0.863, 0.862)
Ag (0.500, 0.163, 0.837)
Ag (0.500, 0.837, 0.163)
Ag (0.810, 0.690, 0.690)
Ag (0.190, 0.310, 0.310)
Hg (0.329, 0.471, 0.872)
Hg (0.000, 0.332, 0.669)
Hg (0.671, 0.129, 0.529)
Hg (0.329, 0.871, 0.471)
Hg (0.000, 0.668, 0.331)
Hg (0.671, 0.529, 0.128)

Results
VASP energy ... -24.024 eV/cell
Relative energy among the computed polymorphs ... 0 meV/atom
Total magnetic moment ... 0.0 μB/f.u.
Formation energy ... -0.216 eV/atom



[10]
AcAg5Hg: optimized geometry, PBE-GGA.

Cell lengths 5.831, 9.220, 11.564 Å; angles 90.00, 90.00, 90.00 degrees
Element x y z (fractional)
Ac (0.250, 0.240, 0.936)
Ac (0.750, 0.260, 0.436)
Ac (0.250, 0.740, 0.564)
Ac (0.750, 0.760, 0.064)
Ag (0.250, 0.596, 0.018)
Ag (0.750, 0.904, 0.518)
Ag (0.250, 0.096, 0.482)
Ag (0.750, 0.404, 0.982)
Ag (0.750, 0.317, 0.743)
Ag (0.250, 0.183, 0.243)
Ag (0.750, 0.817, 0.757)
Ag (0.250, 0.683, 0.257)
Ag (0.250, 0.932, 0.097)
Ag (0.750, 0.568, 0.597)
Ag (0.250, 0.432, 0.403)
Ag (0.750, 0.068, 0.903)
Ag (0.994, 0.435, 0.190)
Ag (0.006, 0.065, 0.690)
Ag (0.506, 0.935, 0.310)
Ag (0.494, 0.565, 0.810)
Ag (0.006, 0.565, 0.810)
Ag (0.994, 0.935, 0.310)
Ag (0.494, 0.065, 0.690)
Ag (0.506, 0.435, 0.190)
Hg (0.250, 0.861, 0.857)
Hg (0.750, 0.639, 0.357)
Hg (0.250, 0.361, 0.643)
Hg (0.750, 0.139, 0.143)

Results
VASP energy ... -79.808 eV/cell
Total magnetic moment ... 0.0 μB/f.u.
Formation energy ... -0.184 eV/atom



[11]
AcAg4Hg: optimized geometry, PBE-GGA.

Cell lengths 5.750, 5.750, 5.750 Å; angles 60.00, 60.00, 60.00 degrees
Element x y z (fractional)
Ac (0.250, 0.250, 0.250)
Hg (0.000, 0.000, 0.000)
Ag (0.626, 0.626, 0.122)
Ag (0.626, 0.122, 0.626)
Ag (0.626, 0.626, 0.626)
Ag (0.122, 0.626, 0.626)

Results
VASP energy ... -17.100 eV/cell
Total magnetic moment ... 0.0 μB/f.u.
Formation energy ... -0.214 eV/atom



[12]
Ac2AgHg: optimized geometry, PBE-GGA.

Cell lengths 3.999, 3.999, 8.047 Å; angles 90.00, 90.00, 90.00 degrees
Element x y z (fractional)
Ac (0.000, 0.000, 0.744)
Ac (0.000, 0.000, 0.256)
Hg (0.500, 0.500, 0.000)
Ag (0.500, 0.500, 0.500)

Results
VASP energy ... -12.862 eV/cell
Relative energy among the computed polymorphs ... 0 meV/atom
Total magnetic moment ... 0.0 μB/f.u.
Formation energy ... -0.373 eV/atom



Copy entry 4 word for word.
AcAgHg2: optimized geometry, PBE-GGA.

Cell lengths 5.070, 4.712, 4.712 Å; angles 90.00, 90.00, 90.00 degrees
Element x y z (fractional)
Ac (0.500, 0.500, 0.500)
Hg (0.000, 0.000, 0.500)
Hg (0.000, 0.500, 0.000)
Ag (0.500, 0.000, 0.000)

Results
VASP energy ... -8.509 eV/cell
Relative energy among the computed polymorphs ... 105 meV/atom
Total magnetic moment ... 0.0 μB/f.u.
Formation energy ... -0.236 eV/atom